Entry 1:
## CaSm2DyBi4 (PBE)

Data for CaSm2DyBi4 after structural relaxation.

```
CaSm2DyBi4
1.0
7.8825 0.0000 0.0000
0.0000 4.5269 0.0000
-2.6059 0.0000 7.4801
Ca Sm Dy Bi
1 2 1 4
Cartesian
0.0000 0.0000 0.0000
2.6383 0.0000 3.7400
3.9412 2.2635 0.0000
-1.3030 2.2635 3.7400
0.0021 0.0000 5.5778
1.3098 2.2635 1.9011
3.9668 2.2635 5.5790
5.2744 0.0000 1.9022
```

- formation energy (eV per atom) = -0.83
- space group = No. 10

=====

Entry 2:
## AsH2Rh2 (PBE)

Data for AsH2Rh2 after structural relaxation.

```
AsH2Rh2
1.0
6.2429 0.0000 0.0000
0.0000 6.2429 0.0000
0.0000 0.0000 3.1868
As H Rh
2 4 4
Cartesian
0.0000 0.0000 0.0000
3.1214 3.1214 0.0000
1.3175 1.8040 1.5934
1.8040 4.9254 1.5934
4.4389 1.3175 1.5934
4.9254 4.4389 1.5934
0.9208 2.2007 0.0000
2.2007 5.3221 0.0000
4.0422 0.9208 0.0000
5.3221 4.0422 0.0000
```

- space group = No. 127
- total DFT energy (no corrections) (eV/atom) = -5.1205